No. 1
Below is crystalline Sr2CdSiI at its relaxed geometry, with properties calculated at the GGA-PBEsol level.

a = 6.024 Å, b = 6.024 Å, c = 5.513 Å
α = 90.00°, β = 90.00°, γ = 90.00°
Space group P4/mmm (No. 123)
Inequivalent atoms, fractional coordinates:
Sr: 0.000 0.500 0.000 [2 per cell]
Cd: 0.000 0.000 0.500 [1 per cell]
Si: 0.500 0.500 0.500 [1 per cell]
I: 0.000 0.000 0.000 [1 per cell]

Values from the calculation:
* size of the total moment: 0.00 μB per cell
* formation energy from raw total energies: 0.310 eV per atom

---

No. 2
Below is crystalline BaMgCu2Ru at its relaxed geometry, with properties calculated at the GGA-PBEsol level.

a = 4.528 Å, b = 4.528 Å, c = 5.761 Å
α = 90.00°, β = 90.00°, γ = 90.00°
Space group P4/mmm (No. 123)
Inequivalent atoms, fractional coordinates:
Ba: 0.000 0.000 0.000 [1 per cell]
Mg: 0.000 0.000 0.500 [1 per cell]
Cu: 0.000 0.500 0.500 [2 per cell]
Ru: 0.500 0.500 0.000 [1 per cell]

Values from the calculation:
* size of the total moment: 1.36 μB per cell
* energy of formation from the pure elements: 1.50 eV/atom

---

No. 3
Below is crystalline La5Sn3I at its relaxed geometry, with properties calculated at the GGA-PBEsol level.

a = 9.6488 Å, b = 9.6488 Å, c = 6.9457 Å
α = 90.00°, β = 90.00°, γ = 120.00°
Space group P6_3/mcm (No. 193)
Inequivalent atoms, fractional coordinates:
La: 0.0000 0.2769 0.2500 [6 per cell]
La: 0.3333 0.6667 0.0000 [4 per cell]
Sn: 0.0000 0.3836 0.7500 [6 per cell]
I: 0.0000 0.0000 0.0000 [2 per cell]

Values from the calculation:
* size of the total moment: 1.64 μB per cell
* formation energy from raw total energies: -0.893 eV per atom

---

No. 4
Below is crystalline Sc3HPb at its relaxed geometry, with properties calculated at the GGA-PBEsol level.

a = 5.440 Å, b = 5.440 Å, c = 5.440 Å
α = 90.00°, β = 90.00°, γ = 90.00°
Space group Pm-3m (No. 221)
Inequivalent atoms, fractional coordinates:
Sc: 0.000 0.000 0.500 [3 per cell]
H: 0.500 0.500 0.500 [1 per cell]
Pb: 0.000 0.000 0.000 [1 per cell]

Values from the calculation:
* energy above the lowest structure with this stoichiometry: 1.484 eV per atom
* size of the total moment: 3.62 μB per cell

---

No. 5
Below is crystalline ZrCu2Te at its relaxed geometry, with properties calculated at the GGA-PBEsol level.

a = 4.063 Å, b = 4.063 Å, c = 4.066 Å
α = 90.00°, β = 90.00°, γ = 90.00°
Space group P4/mmm (No. 123)
Inequivalent atoms, fractional coordinates:
Zr: 0.000 0.000 0.000 [1 per cell]
Cu: 0.000 0.500 0.500 [2 per cell]
Te: 0.500 0.500 0.000 [1 per cell]

Values from the calculation:
* size of the total moment: 0.00 μB per cell
* formation energy from raw total energies: -0.138 eV per atom

---

No. 6
Below is crystalline K2Ca2Ag at its relaxed geometry, with properties calculated at the GGA-PBEsol level.

a = 4.712 Å, b = 4.712 Å, c = 21.632 Å
α = 90.00°, β = 90.00°, γ = 90.00°
Space group I4/mmm (No. 139)
Inequivalent atoms, fractional coordinates:
K: 0.000 0.000 0.084 [4 per cell]
Ca: 0.000 0.500 0.250 [4 per cell]
Ag: 0.000 0.000 0.500 [2 per cell]

Values from the calculation:
* size of the total moment: 0.00 μB per cell
* energy of formation from the pure elements: 0.41 eV/atom

---

No. 7
Below is crystalline TiZnFe2N at its relaxed geometry, with properties calculated at the GGA-PBEsol level.

a = 4.235 Å, b = 4.235 Å, c = 4.652 Å
α = 90.00°, β = 90.00°, γ = 90.00°
Space group P4/mmm (No. 123)
Inequivalent atoms, fractional coordinates:
Ti: 0.000 0.000 0.000 [1 per cell]
Zn: 0.000 0.000 0.500 [1 per cell]
Fe: 0.000 0.500 0.500 [2 per cell]
N: 0.500 0.500 0.000 [1 per cell]

Values from the calculation:
* size of the total moment: 5.17 μB per cell
* formation energy from raw total energies: 1.978 eV per atom

---

No. 8
Below is crystalline Ti3BOs at its relaxed geometry, with properties calculated at the GGA-PBEsol level.

a = 4.155 Å, b = 4.155 Å, c = 4.155 Å
α = 90.00°, β = 90.00°, γ = 90.00°
Space group Pm-3m (No. 221)
Inequivalent atoms, fractional coordinates:
Ti: 0.000 0.000 0.500 [3 per cell]
B: 0.000 0.000 0.000 [1 per cell]
Os: 0.500 0.500 0.500 [1 per cell]

Values from the calculation:
* size of the total moment: 0.00 μB per cell
* energy of formation from the pure elements: -0.05 eV/atom

---

No. 9
Below is crystalline HfGeI2O at its relaxed geometry, with properties calculated at the GGA-PBEsol level.

a = 5.700 Å, b = 5.700 Å, c = 3.904 Å
α = 90.00°, β = 90.00°, γ = 90.00°
Space group P4/mmm (No. 123)
Inequivalent atoms, fractional coordinates:
Hf: 0.000 0.000 0.000 [1 per cell]
Ge: 0.500 0.500 0.500 [1 per cell]
I: 0.000 0.500 0.000 [2 per cell]
O: 0.000 0.000 0.500 [1 per cell]

Values from the calculation:
* size of the total moment: 0.01 μB per cell
* formation energy from raw total energies: -0.767 eV per atom

---

No. 10
Below is crystalline SbAu at its relaxed geometry, with properties calculated at the GGA-PBEsol level.

a = 3.939 Å, b = 3.939 Å, c = 2.957 Å
α = 90.00°, β = 90.00°, γ = 90.00°
Space group P4/mmm (No. 123)
Inequivalent atoms, fractional coordinates:
Sb: 0.000 0.000 0.000 [1 per cell]
Au: 0.500 0.500 0.000 [1 per cell]

Values from the calculation:
* size of the total moment: 0.00 μB per cell
* formation energy from raw total energies: 0.002 eV per atom

---

No. 11
Below is crystalline Y2SiCl at its relaxed geometry, with properties calculated at the GGA-PBEsol level.

a = 7.025 Å, b = 7.025 Å, c = 7.025 Å
α = 90.00°, β = 90.00°, γ = 90.00°
Space group F-43m (No. 216)
Inequivalent atoms, fractional coordinates:
Y: 0.000 0.000 0.000 [4 per cell]
Y: 0.250 0.250 0.250 [4 per cell]
Si: 0.250 0.250 0.750 [4 per cell]
Cl: 0.000 0.000 0.500 [4 per cell]

Values from the calculation:
* energy above the lowest structure with this stoichiometry: 1.139 eV per atom
* size of the total moment: 0.22 μB per cell
* formation energy from raw total energies: -0.060 eV per atom

---

No. 12
Below is crystalline HgSe4Cl at its relaxed geometry, with properties calculated at the GGA-PBEsol level.

a = 7.971 Å, b = 7.971 Å, c = 7.971 Å
α = 90.00°, β = 90.00°, γ = 90.00°
Space group F-43m (No. 216)
Inequivalent atoms, fractional coordinates:
Hg: 0.000 0.000 0.000 [4 per cell]
Se: 0.127 0.127 0.627 [16 per cell]
Cl: 0.250 0.250 0.250 [4 per cell]

Values from the calculation:
* size of the total moment: 0.00 μB per cell
* formation energy from raw total energies: 0.317 eV per atom

---

Number 1: E_tot -10.843 eV per formula unit. Number 2: E_tot -15.225 eV per formula unit. Number 3: E_tot -49.310 eV per formula unit. Number 4: E_tot -21.885 eV per formula unit. Number 5: E_tot -21.837 eV per formula unit. Number 6: E_tot -7.804 eV per formula unit. Number 7: E_tot -26.469 eV per formula unit. Number 8: E_tot -44.471 eV per formula unit. Number 9: E_tot -28.062 eV per formula unit. Number 10: E_tot -8.477 eV per formula unit. Number 11: E_tot -21.637 eV per formula unit. Number 12: E_tot -16.073 eV per formula unit.